(1)
The following is a PBE calculation of a relaxed Li3PuHg4 crystal, from the Alexandria database.

formation enthalpy at 0 K	-0.245	eV/atom
ρ	10.32	Mg/m³
spin magnetization	0.7582	μB/atom
final energy	-2.9054	eV/atom

Cell and atoms, written as CIF:
```
data_Li3PuHg4
_cell_length_a 4.8271
_cell_length_b 4.8271
_cell_length_c 25.5251
_cell_angle_alpha 90.00
_cell_angle_beta 90.00
_cell_angle_gamma 120.00
_space_group_name_H-M_alt 'R -3 m'
_space_group_IT_number 166
_space_group_name_Hall '-R 3 2"'
loop_
_atom_site_label
_atom_site_type_symbol
_atom_site_fract_x
_atom_site_fract_y
_atom_site_fract_z
Li1 Li 0.0000 0.0000 0.0000
Li2 Li 0.0000 0.0000 0.2585
Pu1 Pu 0.0000 0.0000 0.5000
Hg1 Hg 0.0000 0.0000 0.1085
Hg2 Hg 0.0000 0.0000 0.3723
```

(2)
The following is a PBE calculation of a relaxed Li5PuHg6 crystal, from the Alexandria database.

formation enthalpy at 0 K	-0.278	eV/atom
ρ	9.87	Mg/m³
spin magnetization	0.5108	μB/atom
final energy	-2.4206	eV/atom

Cell and atoms, written as CIF:
```
data_Li5PuHg6
_cell_length_a 4.970
_cell_length_b 6.885
_cell_length_c 14.571
_cell_angle_alpha 90.00
_cell_angle_beta 90.00
_cell_angle_gamma 90.00
_space_group_name_H-M_alt 'I m m m'
_space_group_IT_number 71
_space_group_name_Hall '-I 2 2'
loop_
_atom_site_label
_atom_site_type_symbol
_atom_site_fract_x
_atom_site_fract_y
_atom_site_fract_z
Li1 Li 0.000 0.000 0.000
Li2 Li 0.000 0.000 0.340
Li3 Li 0.000 0.500 0.332
Pu1 Pu 0.000 0.500 0.000
Hg1 Hg 0.000 0.234 0.175
Hg2 Hg 0.000 0.277 0.500
```

(3)
The following is a PBE calculation of a relaxed LiPuHg3 crystal, from the Alexandria database.

formation enthalpy at 0 K	-0.160	eV/atom
ρ	12.07	Mg/m³
spin magnetization	1.2277	μB/atom
final energy	-3.5900	eV/atom

Cell and atoms, written as CIF:
```
data_LiPuHg3
_cell_length_a 15.232
_cell_length_b 4.681
_cell_length_c 6.588
_cell_angle_alpha 90.00
_cell_angle_beta 92.82
_cell_angle_gamma 90.00
_space_group_name_H-M_alt 'C 1 2/m 1'
_space_group_IT_number 12
loop_
_space_group_symop_operation_xyz
'x,y,z'
'-x,-y,-z'
'-x,y,-z'
'x,-y,z'
'x+1/2,y+1/2,z'
'-x+1/2,-y+1/2,-z'
'-x+1/2,y+1/2,-z'
'x+1/2,-y+1/2,z'
loop_
_atom_site_label
_atom_site_type_symbol
_atom_site_fract_x
_atom_site_fract_y
_atom_site_fract_z
Li1 Li 0.203 0.000 0.355
Pu1 Pu 0.101 0.500 0.995
Hg1 Hg 0.010 0.000 0.259
Hg2 Hg 0.112 0.500 0.501
Hg3 Hg 0.209 0.000 0.800
```

(4)
The following is a PBE calculation of a relaxed Li2PuHg3 crystal, from the Alexandria database.

formation enthalpy at 0 K	-0.282	eV/atom
ρ	11.55	Mg/m³
spin magnetization	0.9940	μB/atom
final energy	-3.4592	eV/atom

Cell and atoms, written as CIF:
```
data_Li2PuHg3
_cell_length_a 3.327
_cell_length_b 3.327
_cell_length_c 11.166
_cell_angle_alpha 90.00
_cell_angle_beta 90.00
_cell_angle_gamma 90.00
_space_group_name_H-M_alt 'P 4/m m m'
_space_group_IT_number 123
_space_group_name_Hall '-P 4 2'
loop_
_atom_site_label
_atom_site_type_symbol
_atom_site_fract_x
_atom_site_fract_y
_atom_site_fract_z
Li1 Li 0.000 0.000 0.147
Pu1 Pu 0.000 0.000 0.500
Hg1 Hg 0.500 0.500 0.000
Hg2 Hg 0.500 0.500 0.293
```

(5)
The following is a PBE calculation of a relaxed LiPu4Hg5 crystal, from the Alexandria database.

formation enthalpy at 0 K	-0.175	eV/atom
ρ	14.01	Mg/m³
spin magnetization	0.0070	μB/atom
final energy	-6.2497	eV/atom

Cell and atoms, written as CIF:
```
data_LiPu4Hg5
_cell_length_a 3.237
_cell_length_b 3.237
_cell_length_c 22.465
_cell_angle_alpha 90.00
_cell_angle_beta 90.00
_cell_angle_gamma 90.00
_space_group_name_H-M_alt 'P 4/m m m'
_space_group_IT_number 123
_space_group_name_Hall '-P 4 2'
loop_
_atom_site_label
_atom_site_type_symbol
_atom_site_fract_x
_atom_site_fract_y
_atom_site_fract_z
Li1 Li 0.000 0.000 0.000
Pu1 Pu 0.000 0.000 0.181
Pu2 Pu 0.000 0.000 0.394
Hg1 Hg 0.500 0.500 0.075
Hg2 Hg 0.500 0.500 0.287
Hg3 Hg 0.500 0.500 0.500
```

(6)
The following is a PBE calculation of a relaxed LiPu3Hg4 crystal, from the Alexandria database.

formation enthalpy at 0 K	-0.190	eV/atom
ρ	13.82	Mg/m³
spin magnetization	0.7239	μB/atom
final energy	-5.9544	eV/atom

Cell and atoms, written as CIF:
```
data_LiPu3Hg4
_cell_length_a 3.232
_cell_length_b 3.232
_cell_length_c 17.732
_cell_angle_alpha 90.00
_cell_angle_beta 90.00
_cell_angle_gamma 90.00
_space_group_name_H-M_alt 'P 4/m m m'
_space_group_IT_number 123
_space_group_name_Hall '-P 4 2'
loop_
_atom_site_label
_atom_site_type_symbol
_atom_site_fract_x
_atom_site_fract_y
_atom_site_fract_z
Li1 Li 0.000 0.000 0.000
Pu1 Pu 0.000 0.000 0.230
Pu2 Pu 0.000 0.000 0.500
Hg1 Hg 0.500 0.500 0.096
Hg2 Hg 0.500 0.500 0.365
```

(7)
The following is a PBE calculation of a relaxed Li4PuHg5 crystal, from the Alexandria database.

formation enthalpy at 0 K	-0.319	eV/atom
ρ	10.70	Mg/m³
spin magnetization	0.6039	μB/atom
final energy	-2.6685	eV/atom

Cell and atoms, written as CIF:
```
data_Li4PuHg5
_cell_length_a 3.382
_cell_length_b 3.382
_cell_length_c 17.303
_cell_angle_alpha 90.00
_cell_angle_beta 90.00
_cell_angle_gamma 90.00
_space_group_name_H-M_alt 'P 4/m m m'
_space_group_IT_number 123
_space_group_name_Hall '-P 4 2'
loop_
_atom_site_label
_atom_site_type_symbol
_atom_site_fract_x
_atom_site_fract_y
_atom_site_fract_z
Li1 Li 0.000 0.000 0.092
Li2 Li 0.000 0.000 0.278
Pu1 Pu 0.000 0.000 0.500
Hg1 Hg 0.500 0.500 0.000
Hg2 Hg 0.500 0.500 0.185
Hg3 Hg 0.500 0.500 0.369
```

(8)
The following is a PBE calculation of a relaxed LiPuHgSb crystal, from the Alexandria database.

ΔE_f (raw)	-167.7	kJ/mol of formula units
ρ	9.64	Mg/m³
spin magnetization	1.4993	μB/atom
final energy	-5.6020	eV/atom

Cell and atoms, written as CIF:
```
data_LiPuHgSb
_cell_length_a 7.337
_cell_length_b 7.337
_cell_length_c 7.337
_cell_angle_alpha 90.00
_cell_angle_beta 90.00
_cell_angle_gamma 90.00
_space_group_name_H-M_alt 'F -4 3 m'
_space_group_IT_number 216
_space_group_name_Hall 'F -4 2 3'
loop_
_atom_site_label
_atom_site_type_symbol
_atom_site_fract_x
_atom_site_fract_y
_atom_site_fract_z
Li1 Li 0.000 0.000 0.000
Pu1 Pu 0.000 0.000 0.500
Hg1 Hg 0.250 0.250 0.250
Sb1 Sb 0.250 0.250 0.750
```

(9)
The following is a PBE calculation of a relaxed LiPuSc2Hg4 crystal, from the Alexandria database.

formation enthalpy at 0 K	-0.285	eV/atom
ρ	10.52	Mg/m³
spin magnetization	0.7682	μB/atom
final energy	-4.0496	eV/atom

Cell and atoms, written as CIF:
```
data_LiPuSc2Hg4
_cell_length_a 4.9832
_cell_length_b 4.9832
_cell_length_c 25.1712
_cell_angle_alpha 90.00
_cell_angle_beta 90.00
_cell_angle_gamma 120.00
_space_group_name_H-M_alt 'R -3 m'
_space_group_IT_number 166
_space_group_name_Hall '-R 3 2"'
loop_
_atom_site_label
_atom_site_type_symbol
_atom_site_fract_x
_atom_site_fract_y
_atom_site_fract_z
Li1 Li 0.0000 0.0000 0.0000
Pu1 Pu 0.0000 0.0000 0.5000
Sc1 Sc 0.0000 0.0000 0.2520
Hg1 Hg 0.0000 0.0000 0.1143
Hg2 Hg 0.0000 0.0000 0.3708
```

(10)
The following is a PBE calculation of a relaxed Li2PuHgSe4 crystal, from the Alexandria database.

ΔE_f (raw)	-711.7	kJ/mol of formula units
ρ	6.95	Mg/m³
spin magnetization	0.4986	μB/atom
final energy	-4.9719	eV/atom

Cell and atoms, written as CIF:
```
data_Li2PuHgSe4
_cell_length_a 6.973
_cell_length_b 4.070
_cell_length_c 7.008
_cell_angle_alpha 90.00
_cell_angle_beta 111.61
_cell_angle_gamma 90.00
_space_group_name_H-M_alt 'P 1 2/m 1'
_space_group_IT_number 10
loop_
_space_group_symop_operation_xyz
'x,y,z'
'-x,-y,-z'
'-x,y,-z'
'x,-y,z'
loop_
_atom_site_label
_atom_site_type_symbol
_atom_site_fract_x
_atom_site_fract_y
_atom_site_fract_z
Li1 Li 0.000 0.000 0.000
Li2 Li 0.000 0.500 0.500
Pu1 Pu 0.500 0.000 0.500
Hg1 Hg 0.500 0.500 0.000
Se1 Se 0.231 0.500 0.268
Se2 Se 0.257 0.000 0.752
```

(11)
The following is a PBE calculation of a relaxed LiPuSnHg crystal, from the Alexandria database.

formation enthalpy at 0 K	-0.324	eV/atom
ρ	10.56	Mg/m³
spin magnetization	1.4367	μB/atom
relative energy among the computed polymorphs	0	meV/atom
final energy	-5.4612	eV/atom

Cell and atoms, written as CIF:
```
data_LiPuSnHg
_cell_length_a 3.417
_cell_length_b 3.417
_cell_length_c 7.680
_cell_angle_alpha 90.00
_cell_angle_beta 90.00
_cell_angle_gamma 90.00
_space_group_name_H-M_alt 'P 4 m m'
_space_group_IT_number 99
loop_
_space_group_symop_operation_xyz
'x,y,z'
'-y,x,z'
'-x,-y,z'
'y,-x,z'
'-x,y,z'
'y,x,z'
'x,-y,z'
'-y,-x,z'
loop_
_atom_site_label
_atom_site_type_symbol
_atom_site_fract_x
_atom_site_fract_y
_atom_site_fract_z
Li1 Li 0.000 0.000 0.000
Pu1 Pu 0.000 0.000 0.488
Sn1 Sn 0.500 0.500 0.779
Hg1 Hg 0.500 0.500 0.198
```

(12)
The following is a PBE calculation of a relaxed LiPuSnHg crystal, from the Alexandria database.

formation enthalpy at 0 K	-0.287	eV/atom
ρ	9.83	Mg/m³
spin magnetization	1.3399	μB/atom
relative energy among the computed polymorphs	37	meV/atom
final energy	-5.4242	eV/atom

Cell and atoms, written as CIF:
```
data_LiPuSnHg
_cell_length_a 7.277
_cell_length_b 7.277
_cell_length_c 7.277
_cell_angle_alpha 90.00
_cell_angle_beta 90.00
_cell_angle_gamma 90.00
_space_group_name_H-M_alt 'F -4 3 m'
_space_group_IT_number 216
_space_group_name_Hall 'F -4 2 3'
loop_
_atom_site_label
_atom_site_type_symbol
_atom_site_fract_x
_atom_site_fract_y
_atom_site_fract_z
Li1 Li 0.000 0.000 0.000
Pu1 Pu 0.000 0.000 0.500
Sn1 Sn 0.250 0.250 0.250
Hg1 Hg 0.250 0.250 0.750
```